CrWO4: optimized geometry, GGA+U.

Output
E_tot: -7.711 eV/atom
magnetic moment: 0.499 μB/atom

Lattice parameters (Å, degrees): 9.4494 5.9632 4.7343 90.00 92.09 90.00
Space group C2/m (No. 12)
Asymmetric unit:
Cr 0.2402 0.0000 0.0093 x4
W 0.0000 0.2712 0.5000 x4
O 0.0918 0.0000 0.3104 x4
O 0.1117 0.5000 0.2850 x4
O 0.1479 0.2567 0.7967 x8